# YHo2MoO8 (GGA+U, relaxed)
# Magnetic moment in μB per cell: 0.895
# Density of states at the Fermi level in states/eV per atom: 0.614
# Uncorrected energy in eV/atom: -7.88
data_YHo2MoO8
_cell_length_a 5.042
_cell_length_b 5.042
_cell_length_c 6.790
_cell_angle_alpha 90.00
_cell_angle_beta 90.00
_cell_angle_gamma 90.67
_symmetry_space_group_name_H-M 'P 1'
_symmetry_Int_Tables_number 1
loop_
_symmetry_equiv_pos_as_xyz
'x,y,z'
loop_
_atom_site_label
_atom_site_fract_x
_atom_site_fract_y
_atom_site_fract_z
_atom_site_occupancy
Y1 0.000 0.000 0.500 1
Ho1 0.500 0.500 0.750 1
Ho2 0.500 0.500 0.250 1
Mo1 0.000 0.000 0.000 1
O1 0.184 0.816 0.212 1
O2 0.724 0.725 0.000 1
O3 0.816 0.184 0.212 1
O4 0.816 0.184 0.788 1
O5 0.276 0.275 0.000 1
O6 0.184 0.816 0.788 1
O7 0.691 0.692 0.500 1
O8 0.309 0.308 0.500 1